DFT (PBE) results for a relaxed AcHoSc crystal.

## Properties
energy relative to the lowest polymorph listed for this composition: 0.00 eV/f.u.
total moment: 0.00 μB per atom
uncorrected energy: -4.8990 eV/atom

Lattice parameters (Å, degrees): 4.032 4.032 12.231 90.00 90.00 90.00
Space group I4mm (No. 107)
Symmetry-distinct sites (fractional):
1 Ac 0.000 0.000 0.000 x2
2 Ho 0.000 0.000 0.307 x2
3 Sc 0.000 0.000 0.672 x2